# PBE La3InRu, optimized geometry
data_La3InRu
_cell_length_a 6.2967
_cell_length_b 6.7466
_cell_length_c 7.1510
_cell_angle_alpha 78.05
_cell_angle_beta 80.46
_cell_angle_gamma 88.94
_symmetry_space_group_name_H-M 'P -1'
_symmetry_Int_Tables_number 2
loop_
_symmetry_equiv_pos_as_xyz
'x,y,z'
'-x,-y,-z'
loop_
_atom_site_label
_atom_site_fract_x
_atom_site_fract_y
_atom_site_fract_z
La1 0.1558 0.1662 0.0531
La2 0.2686 0.1425 0.5414
La3 0.3058 0.6389 0.1939
In1 0.2352 0.6077 0.6948
Ru1 0.4418 0.9118 0.8308
# DOS at the Fermi energy (states/eV per atom): 0.9271
# Electronic total energy (eV per cell): -57.3
# Energy of formation from the pure elements (eV/atom): -0.37